Computed, not measured: a relaxed structure of Te2PtRhI at the GGA-PBEsol level of DFT.

Computed properties:
- D(E_F) (states/eV/f.u.) = 8.20
- VASP energy (eV per formula unit) = -18.86
- symmetry = P4/mmm, No. 123

Unit cell a=5.180 b=5.180 c=5.307 alpha=90.00 beta=90.00 gamma=90.00
Element x y z (fractional)
Te 0.000 0.500 0.000
Te 0.500 0.000 0.000
Pt 0.000 0.000 0.000
Rh 0.500 0.500 0.500
I 0.000 0.000 0.500

---

Computed, not measured: a relaxed structure of PtSeS2I at the GGA-PBEsol level of DFT.

Computed properties:
- D(E_F) (states/eV/f.u.) = 6.69
- VASP energy (eV per formula unit) = -14.62
- symmetry = P4/mmm, No. 123

Unit cell a=4.939 b=4.939 c=5.029 alpha=90.00 beta=90.00 gamma=90.00
Element x y z (fractional)
Pt 0.000 0.000 0.000
Se 0.500 0.500 0.000
S 0.000 0.500 0.500
S 0.500 0.000 0.500
I 0.000 0.000 0.500

---

Computed, not measured: a relaxed structure of SbPtSeI2 at the GGA-PBEsol level of DFT.

Computed properties:
- D(E_F) (states/eV/f.u.) = 5.06
- VASP energy (eV per formula unit) = -16.70
- symmetry = P4/mmm, No. 123

Unit cell a=5.293 b=5.293 c=5.246 alpha=90.00 beta=90.00 gamma=90.00
Element x y z (fractional)
Sb 0.000 0.000 0.000
Pt 0.000 0.000 0.500
Se 0.500 0.500 0.000
I 0.000 0.500 0.500
I 0.500 0.000 0.500

---

Computed, not measured: a relaxed structure of SbTe2PtI at the GGA-PBEsol level of DFT.

Computed properties:
- D(E_F) (states/eV/f.u.) = 9.24
- VASP energy (eV per formula unit) = -14.17
- symmetry = P4/mmm, No. 123

Unit cell a=5.641 b=5.641 c=5.573 alpha=90.00 beta=90.00 gamma=90.00
Element x y z (fractional)
Sb 0.000 0.000 0.000
Te 0.000 0.500 0.000
Te 0.500 0.000 0.000
Pt 0.500 0.500 0.500
I 0.000 0.000 0.500

---

Computed, not measured: a relaxed structure of YSbPtI2 at the GGA-PBEsol level of DFT.

Computed properties:
- D(E_F) (states/eV/f.u.) = 2.54
- VASP energy (eV per formula unit) = -22.12
- symmetry = P4/mmm, No. 123

Unit cell a=5.250 b=5.250 c=5.432 alpha=90.00 beta=90.00 gamma=90.00
Element x y z (fractional)
Y 0.000 0.000 0.000
Sb 0.500 0.500 0.000
Pt 0.500 0.500 0.500
I 0.000 0.500 0.500
I 0.500 0.000 0.500

---

Computed, not measured: a relaxed structure of ZrSb2PtI at the GGA-PBEsol level of DFT.

Computed properties:
- D(E_F) (states/eV/f.u.) = 4.44
- VASP energy (eV per formula unit) = -24.33
- symmetry = P4/mmm, No. 123

Unit cell a=5.148 b=5.148 c=5.258 alpha=90.00 beta=90.00 gamma=90.00
Element x y z (fractional)
Zr 0.000 0.000 0.000
Sb 0.000 0.500 0.500
Sb 0.500 0.000 0.500
Pt 0.500 0.500 0.500
I 0.500 0.500 0.000

---

Computed, not measured: a relaxed structure of ScPtI2 at the GGA-PBEsol level of DFT.

Computed properties:
- D(E_F) (states/eV/f.u.) = 3.02
- VASP energy (eV per formula unit) = -17.37
- symmetry = I-42d, No. 122

Unit cell a=7.481 b=7.481 c=7.481 alpha=128.91 beta=128.91 gamma=75.16
Element x y z (fractional)
Sc 0.000 0.000 0.000
Sc 0.750 0.250 0.500
Pt 0.250 0.750 0.500
Pt 0.500 0.500 0.000
I 0.146 0.625 0.021
I 0.375 0.396 0.521
I 0.604 0.125 0.979
I 0.875 0.854 0.479

---

Computed, not measured: a relaxed structure of PtSe2I at the GGA-PBEsol level of DFT.

Computed properties:
- D(E_F) (states/eV/f.u.) = 1.74
- VASP energy (eV per formula unit) = -17.26
- symmetry = R-3m, No. 166

Unit cell a=8.331 b=8.331 c=8.331 alpha=26.94 beta=26.94 gamma=26.94
Element x y z (fractional)
Pt 0.000 0.000 0.000
Se 0.383 0.383 0.383
Se 0.617 0.617 0.617
I 0.500 0.500 0.500

---

Computed, not measured: a relaxed structure of Te2PtSeI at the GGA-PBEsol level of DFT.

Computed properties:
- D(E_F) (states/eV/f.u.) = 8.99
- VASP energy (eV per formula unit) = -13.85
- symmetry = P4/mmm, No. 123

Unit cell a=5.369 b=5.369 c=5.257 alpha=90.00 beta=90.00 gamma=90.00
Element x y z (fractional)
Te 0.000 0.500 0.000
Te 0.500 0.000 0.000
Pt 0.000 0.000 0.500
Se 0.500 0.500 0.000
I 0.500 0.500 0.500

---

Computed, not measured: a relaxed structure of SiPt2I at the GGA-PBEsol level of DFT.

Computed properties:
- D(E_F) (states/eV/f.u.) = 0.99
- VASP energy (eV per formula unit) = -19.80
- symmetry = Fm-3m, No. 225

Unit cell a=4.643 b=4.643 c=4.643 alpha=60.00 beta=60.00 gamma=60.00
Element x y z (fractional)
Si 0.000 0.000 0.000
Pt 0.250 0.250 0.250
Pt 0.750 0.750 0.750
I 0.500 0.500 0.500

---

Computed, not measured: a relaxed structure of SiTe2PtI at the GGA-PBEsol level of DFT.

Computed properties:
- D(E_F) (states/eV/f.u.) = 4.06
- VASP energy (eV per formula unit) = -18.47
- symmetry = P4/mmm, No. 123

Unit cell a=5.223 b=5.223 c=5.316 alpha=90.00 beta=90.00 gamma=90.00
Element x y z (fractional)
Si 0.000 0.000 0.000
Te 0.000 0.500 0.500
Te 0.500 0.000 0.500
Pt 0.500 0.500 0.500
I 0.500 0.500 0.000

---

Computed, not measured: a relaxed structure of SnPtI2 at the GGA-PBEsol level of DFT.

Computed properties:
- D(E_F) (states/eV/f.u.) = 3.40
- VASP energy (eV per formula unit) = -13.19
- symmetry = Fm-3m, No. 225

Unit cell a=5.215 b=5.215 c=5.215 alpha=60.00 beta=60.00 gamma=60.00
Element x y z (fractional)
Sn 0.000 0.000 0.000
Pt 0.500 0.500 0.500
I 0.250 0.250 0.250
I 0.750 0.750 0.750

---

Computed, not measured: a relaxed structure of Sn2Pt2I at the GGA-PBEsol level of DFT.

Computed properties:
- D(E_F) (states/eV/f.u.) = 2.31
- VASP energy (eV per formula unit) = -25.46
- symmetry = I4/mmm, No. 139

Unit cell a=8.561 b=8.561 c=8.561 alpha=153.85 beta=153.85 gamma=37.32
Element x y z (fractional)
Sn 0.132 0.132 0.000
Sn 0.868 0.868 0.000
Pt 0.250 0.750 0.500
Pt 0.750 0.250 0.500
I 0.500 0.500 0.000

---

Computed, not measured: a relaxed structure of TaPt3I at the GGA-PBEsol level of DFT.

Computed properties:
- D(E_F) (states/eV/f.u.) = 4.52
- VASP energy (eV per formula unit) = -26.75
- symmetry = Pm-3m, No. 221

Unit cell a=4.820 b=4.820 c=4.820 alpha=90.00 beta=90.00 gamma=90.00
Element x y z (fractional)
Ta 0.000 0.000 0.000
Pt 0.000 0.500 0.500
Pt 0.500 0.000 0.500
Pt 0.500 0.500 0.000
I 0.500 0.500 0.500

---

Computed, not measured: a relaxed structure of TaPt2I at the GGA-PBEsol level of DFT.

Computed properties:
- D(E_F) (states/eV/f.u.) = 2.50
- VASP energy (eV per formula unit) = -26.46
- symmetry = Fm-3m, No. 225

Unit cell a=4.694 b=4.694 c=4.694 alpha=60.00 beta=60.00 gamma=60.00
Element x y z (fractional)
Ta 0.000 0.000 0.000
Pt 0.250 0.250 0.250
Pt 0.750 0.750 0.750
I 0.500 0.500 0.500

---

Computed, not measured: a relaxed structure of Tb7PtI12 at the GGA-PBEsol level of DFT.

Computed properties:
- D(E_F) (states/eV/f.u.) = 9.26
- VASP energy (eV per formula unit) = -80.08
- symmetry = R-3, No. 148

Unit cell a=11.171 b=11.171 c=11.171 alpha=116.79 beta=116.79 gamma=116.79
Element x y z (fractional)
Tb 0.000 0.000 0.000
Tb 0.181 0.567 0.711
Tb 0.289 0.819 0.433
Tb 0.433 0.289 0.819
Tb 0.567 0.711 0.181
Tb 0.711 0.181 0.567
Tb 0.819 0.433 0.289
Pt 0.500 0.500 0.500
I 0.074 0.228 0.641
I 0.086 0.384 0.312
I 0.228 0.641 0.074
I 0.312 0.086 0.384
I 0.359 0.926 0.772
I 0.384 0.312 0.086
I 0.616 0.688 0.914
I 0.641 0.074 0.228
I 0.688 0.914 0.616
I 0.772 0.359 0.926
I 0.914 0.616 0.688
I 0.926 0.772 0.359

---

Computed, not measured: a relaxed structure of Tc3PtI at the GGA-PBEsol level of DFT.

Computed properties:
- D(E_F) (states/eV/f.u.) = 8.71
- VASP energy (eV per formula unit) = -32.13
- symmetry = Pm-3m, No. 221

Unit cell a=4.762 b=4.762 c=4.762 alpha=90.00 beta=90.00 gamma=90.00
Element x y z (fractional)
Tc 0.000 0.000 0.500
Tc 0.000 0.500 0.000
Tc 0.500 0.000 0.000
Pt 0.000 0.000 0.000
I 0.500 0.500 0.500

---

Computed, not measured: a relaxed structure of TcTePtI2 at the GGA-PBEsol level of DFT.

Computed properties:
- D(E_F) (states/eV/f.u.) = 8.86
- VASP energy (eV per formula unit) = -19.74
- symmetry = P4/mmm, No. 123

Unit cell a=5.257 b=5.257 c=4.985 alpha=90.00 beta=90.00 gamma=90.00
Element x y z (fractional)
Tc 0.000 0.000 0.000
Te 0.000 0.000 0.500
Pt 0.500 0.500 0.500
I 0.000 0.500 0.000
I 0.500 0.000 0.000

---

Computed, not measured: a relaxed structure of TePt3I at the GGA-PBEsol level of DFT.

Computed properties:
- D(E_F) (states/eV/f.u.) = 4.82
- VASP energy (eV per formula unit) = -20.08
- symmetry = Pm-3m, No. 221

Unit cell a=4.940 b=4.940 c=4.940 alpha=90.00 beta=90.00 gamma=90.00
Element x y z (fractional)
Te 0.000 0.000 0.000
Pt 0.000 0.500 0.500
Pt 0.500 0.000 0.500
Pt 0.500 0.500 0.000
I 0.500 0.500 0.500

---

Computed, not measured: a relaxed structure of TePtWI2 at the GGA-PBEsol level of DFT.

Computed properties:
- D(E_F) (states/eV/f.u.) = 6.29
- VASP energy (eV per formula unit) = -21.44
- symmetry = P4/mmm, No. 123

Unit cell a=5.220 b=5.220 c=5.217 alpha=90.00 beta=90.00 gamma=90.00
Element x y z (fractional)
Te 0.000 0.000 0.000
Pt 0.500 0.500 0.000
W 0.000 0.000 0.500
I 0.000 0.500 0.500
I 0.500 0.000 0.500